[1]
# USi2W

A relaxed USi2W crystal (PBE, Alexandria via LeMat-Bulk).

```
USi2W
1.0
-1.274 0.930 -2.349
-2.464 -1.127 -0.814
-5.839 6.345 3.975
Si U W
2 1 1
Cartesian
-7.272 4.736 0.706
-2.305 1.413 0.105
-4.789 3.074 0.406
0.000 0.000 0.000
```

=====

[2]
# YUSi

A relaxed YUSi crystal (PBE, Alexandria via LeMat-Bulk).

```
YUSi
1.0
5.037 0.000 0.000
0.000 3.186 0.000
-2.519 -1.593 8.587
Y U Si
2 2 2
Cartesian
2.519 0.000 3.024
0.000 1.593 5.563
3.781 1.593 0.000
1.256 1.593 0.000
0.000 1.593 2.611
2.519 0.000 5.976
```

=====

[3]
# UZnSi

A relaxed UZnSi crystal (PBE, Alexandria via LeMat-Bulk).

```
UZnSi
1.0
-2.761 -0.549 -0.454
0.936 -1.062 -4.403
0.120 -3.290 3.248
Zn U Si
1 1 1
Cartesian
0.204 -1.896 -1.928
-1.448 -2.914 0.395
-0.460 -0.092 -0.076
```

=====

| no. | spin magnetization (μB per formula unit) | total energy (eV/atom) |
| --- | --- | --- |
| 1 | 0.00 | -8.67 |
| 2 | 1.03 | -7.78 |
| 3 | 2.19 | -6.09 |